Record 1
Ho2I2N | PBE | relaxed

space group = C2/m

POSCAR file:
```
Ho2I2N
1.0
-0.719 -2.806 2.411
2.715 -2.452 0.902
3.583 5.118 9.971
Ho I N
2 2 1
Direct
0.292 0.807 0.608
0.708 0.193 0.392
0.556 0.094 0.794
0.444 0.906 0.206
0.000 0.500 0.500
```

=====

Record 2
HoI4N2 | PBE | relaxed

space group = P-1

POSCAR file:
```
HoI4N2
1.0
-2.371 -2.108 2.290
5.727 -5.648 -6.089
5.181 -5.132 3.936
N I Ho
2 4 1
Direct
0.640 0.818 0.354
0.360 0.182 0.646
0.994 0.250 0.514
0.255 0.755 0.990
0.745 0.245 0.010
0.006 0.750 0.486
0.000 0.000 0.000
```

=====

Record 3
Pm2HoI2N2 | PBE | relaxed

space group = I4/mmm

POSCAR file:
```
Pm2HoI2N2
1.0
4.467 0.000 0.000
0.000 4.467 0.000
-2.234 -2.234 9.791
I Pm N Ho
2 2 2 1
Direct
0.838 0.838 0.676
0.162 0.162 0.324
0.575 0.575 0.150
0.425 0.425 0.850
0.000 0.500 0.000
0.500 0.000 0.000
0.000 0.000 0.000
```

=====

Record 4
Pr2HoI2N2 | PBE | relaxed

space group = I4/mmm

POSCAR file:
```
Pr2HoI2N2
1.0
4.498 0.000 0.000
0.000 4.498 0.000
-2.249 -2.249 9.777
Pr N I Ho
2 2 2 1
Direct
0.577 0.577 0.154
0.423 0.423 0.846
0.000 0.500 0.000
0.500 0.000 0.000
0.163 0.163 0.326
0.837 0.837 0.674
0.000 0.000 0.000
```

=====

Record 5
Na3HoI6 | PBE | relaxed

space group = P2_1/c

POSCAR file:
```
Na3HoI6
1.0
-6.076 -4.667 1.536
1.728 -4.503 -6.846
7.008 -7.012 6.381
I Na Ho
12 6 2
Direct
0.166 0.309 0.077
0.684 0.179 0.928
0.316 0.821 0.072
0.834 0.691 0.923
0.184 0.321 0.428
0.852 0.946 0.236
0.148 0.054 0.764
0.816 0.679 0.572
0.666 0.191 0.577
0.648 0.446 0.264
0.334 0.809 0.423
0.352 0.554 0.736
0.500 0.500 0.000
0.959 0.400 0.742
0.541 0.900 0.758
0.000 0.000 0.500
0.459 0.100 0.242
0.041 0.600 0.258
0.000 0.000 0.000
0.500 0.500 0.500
```

=====

Record 6
NaHoI3 | PBE | relaxed

space group = P6_3/mmc

POSCAR file:
```
NaHoI3
1.0
-3.968 -4.487 -3.513
2.610 -6.274 5.069
-6.891 4.504 2.026
Ho Na I
2 2 6
Direct
0.500 0.000 0.000
0.000 0.000 0.000
0.250 0.333 0.667
0.750 0.667 0.333
0.750 0.656 0.828
0.750 0.172 0.828
0.250 0.828 0.656
0.250 0.828 0.172
0.750 0.172 0.344
0.250 0.344 0.172
```

=====

Record 7
NaHoI4 | PBE | relaxed

space group = P2/m

POSCAR file:
```
NaHoI4
1.0
-4.266 0.782 0.858
-1.938 -3.252 -6.669
-0.584 -7.139 3.607
I Na Ho
4 1 1
Direct
0.000 0.778 0.694
0.500 0.768 0.149
0.000 0.222 0.306
0.500 0.232 0.851
0.500 0.000 0.500
0.000 0.000 0.000
```

=====

Record 8
NaHoI2O8 | PBE | relaxed

space group = I-4

POSCAR file:
```
NaHoI2O8
1.0
5.313 0.000 0.000
0.000 5.313 0.000
-2.656 -2.656 5.906
Ho O I Na
1 8 2 1
Direct
0.750 0.250 0.500
0.746 0.825 0.162
0.662 0.254 0.838
0.061 0.016 0.656
0.596 0.640 0.656
0.175 0.584 0.838
0.984 0.404 0.344
0.416 0.338 0.162
0.360 0.939 0.344
0.250 0.750 0.500
0.500 0.500 0.000
0.000 0.000 0.000
```

=====

Record 9
Na2Ho2IO6 | PBE | relaxed

space group = C2/m

POSCAR file:
```
Na2Ho2IO6
1.0
6.075 -0.132 0.161
-3.118 5.215 0.161
-0.954 -1.640 5.510
O I Na Ho
6 1 2 2
Direct
0.039 0.399 0.703
0.259 0.259 0.312
0.601 0.961 0.297
0.961 0.601 0.297
0.741 0.741 0.688
0.399 0.039 0.703
0.000 0.000 0.500
0.163 0.837 0.000
0.837 0.163 0.000
0.666 0.334 0.500
0.334 0.666 0.500
```

=====

Record 10
Na3Ho3IO8 | PBE | relaxed

space group = C2/m

POSCAR file:
```
Na3Ho3IO8
1.0
6.739 0.000 0.000
-3.370 6.110 0.194
0.000 -3.858 5.482
O Ho Na I
8 3 3 1
Direct
0.255 0.510 0.726
0.725 0.449 0.705
0.790 0.047 0.309
0.275 0.551 0.295
0.256 0.047 0.309
0.210 0.953 0.691
0.744 0.953 0.691
0.745 0.490 0.274
0.500 0.500 0.500
0.000 0.500 0.500
0.500 0.000 0.500
0.000 0.000 0.000
0.500 0.500 0.000
0.000 0.500 0.000
0.000 0.000 0.500
```

=====

Record 11
RbNa2HoI6 | PBE | relaxed

space group = P1

POSCAR file:
```
RbNa2HoI6
1.0
8.232 0.004 0.001
4.119 7.126 0.000
4.117 2.377 7.551
I Ho Na Rb
6 1 2 1
Direct
0.944 0.570 0.232
0.254 0.944 0.232
0.358 0.724 0.762
0.569 0.254 0.232
0.725 0.155 0.762
0.156 0.358 0.762
0.328 0.328 0.016
0.001 0.002 0.996
0.517 0.517 0.449
0.809 0.810 0.571
```

=====

Record 12
NaSrHoI6 | PBE | relaxed

space group = P-31c

POSCAR file:
```
NaSrHoI6
1.0
8.038 0.000 0.000
-4.019 6.961 0.000
0.000 0.000 14.373
Na Ho I Sr
2 2 12 2
Direct
0.000 0.000 0.000
0.000 0.000 0.500
0.667 0.333 0.250
0.333 0.667 0.750
0.335 0.360 0.873
0.665 0.640 0.127
0.360 0.335 0.373
0.335 0.975 0.627
0.025 0.665 0.873
0.975 0.335 0.127
0.975 0.640 0.373
0.360 0.025 0.127
0.665 0.025 0.373
0.025 0.360 0.627
0.640 0.975 0.873
0.640 0.665 0.627
0.333 0.667 0.250
0.667 0.333 0.750
```

=====

Number 1: total energy -27.46 eV for the cell shown, total magnetic moment 0.0 μB/f.u.. Number 2: total energy -26.75 eV for the cell shown, total magnetic moment 0.0 μB/f.u.. Number 3: total energy -42.52 eV for the cell shown, total magnetic moment 1.0 μB/f.u.. Number 4: total energy -42.69 eV for the cell shown, total magnetic moment 1.0 μB/f.u.. Number 5: total energy -61.39 eV for the cell shown, total magnetic moment 0.0 μB/f.u.. Number 6: total energy -31.69 eV for the cell shown, total magnetic moment 0.0 μB/f.u.. Number 7: total energy -20.14 eV for the cell shown, total magnetic moment 0.0 μB/f.u.. Number 8: total energy -61.12 eV for the cell shown, total magnetic moment 0.0 μB/f.u.. Number 9: total energy -64.81 eV for the cell shown, total magnetic moment 1.0 μB/f.u.. Number 10: total energy -92.09 eV for the cell shown, total magnetic moment 1.0 μB/f.u.. Number 11: total energy -30.94 eV for the cell shown, total magnetic moment 0.0 μB/f.u.. Number 12: total energy -59.86 eV for the cell shown, total magnetic moment 0.0 μB/f.u..